# 1
PuTlCd2O8: relaxed, GGA-PBE.

a b c (Å): 6.1484 6.1484 6.1484
angles (deg): 114.78 114.78 99.30
Fractional positions:
O: 0.3440 0.0173 0.3266
Cd: 0.7500 0.2500 0.5000
O: 0.9827 0.6560 0.6734
O: 0.9827 0.3093 0.3266
O: 0.6907 0.0173 0.6734
O: 0.9226 0.7130 0.2097
O: 0.5033 0.7130 0.7903
Cd: 0.5000 0.5000 0.0000
Pu: 0.2500 0.7500 0.5000
Tl: 0.0000 0.0000 0.0000
O: 0.2870 0.4967 0.2097
O: 0.2870 0.0774 0.7903

Computed properties:
For the electronic total energy, the calculation gives -5.88 eV per atom. For the uncorrected formation energy, the calculation gives -1.03 eV per atom.

***

# 2
TlCd2Au: relaxed, GGA-PBE.

a b c (Å): 3.3206 3.3206 8.5209
angles (deg): 90.00 90.00 90.00
Fractional positions:
Cd: 0.0000 0.0000 0.5412
Cd: 0.0000 0.0000 0.9588
Tl: 0.5000 0.5000 0.2500
Au: 0.5000 0.5000 0.7500

Computed properties:
The calculation puts the energy of formation from the pure elements at -0.060 eV per atom. For the offset from the most stable computed form, the calculation gives 0.13 eV per formula unit. For the electronic total energy, the calculation gives -1.93 eV per atom.

***

# 3
Ho2Si2SnRu5: relaxed, GGA-PBE.

a b c (Å): 3.2618 10.0786 10.0786
angles (deg): 90.00 90.00 90.00
Fractional positions:
Ru: 0.5000 0.5000 0.0000
Ru: 0.5000 0.9317 0.2128
Ru: 0.5000 0.0683 0.7872
Ho: 0.0000 0.1741 0.3259
Ru: 0.5000 0.5683 0.7128
Ho: 0.0000 0.8259 0.6741
Sn: 0.0000 0.5000 0.5000
Si: 0.0000 0.6250 0.8750
Si: 0.0000 0.8750 0.3750
Ru: 0.5000 0.2872 0.5683
Si: 0.0000 0.1250 0.6250
Ru: 0.5000 0.2128 0.0683
Si: 0.0000 0.3750 0.1250
Ru: 0.5000 0.0000 0.5000
Ho: 0.0000 0.6741 0.1741
Ru: 0.5000 0.7872 0.9317
Ru: 0.5000 0.4317 0.2872
Sn: 0.0000 0.0000 0.0000
Ru: 0.5000 0.7128 0.4317
Ho: 0.0000 0.3259 0.8259

Computed properties:
For the electronic total energy, the calculation gives -7.70 eV per atom. For the uncorrected formation energy, the calculation gives -0.66 eV per atom.

***

# 4
PmGaBRu3: relaxed, GGA-PBE.

a b c (Å): 5.8346 5.7027 6.5966
angles (deg): 115.61 90.00 90.00
Fractional positions:
Ru: 0.5000 0.2553 0.0000
Pm: 0.7500 0.2554 0.5108
Ru: 0.2500 0.1576 0.3152
Ru: 0.5000 0.7447 0.0000
Ru: 0.0000 0.7447 0.0000
B: 0.7500 0.0218 0.0436
Ga: 0.7500 0.6352 0.2704
Pm: 0.2500 0.7446 0.4892
Ru: 0.0000 0.2553 0.0000
B: 0.2500 0.9782 0.9564
Ru: 0.7500 0.8424 0.6848
Ga: 0.2500 0.3648 0.7296

Computed properties:
The calculation puts the energy of formation from the pure elements at -0.207 eV per atom. For the electronic total energy, the calculation gives -7.25 eV per atom.

***

# 5
LiNiIr2: relaxed, GGA-PBE.

a b c (Å): 2.9599 2.9599 5.6914
angles (deg): 90.00 90.00 90.00
Fractional positions:
Ir: 0.0000 0.0000 0.4970
Ir: 0.0000 0.0000 0.0030
Li: 0.5000 0.5000 0.2500
Ni: 0.5000 0.5000 0.7500

Computed properties:
The calculation puts the energy of formation from the pure elements at 0.116 eV per atom. For the offset from the most stable computed form, the calculation gives 0.76 eV per formula unit. For the electronic total energy, the calculation gives -6.24 eV per atom.

***

# 6
Sr2TaZn: relaxed, GGA-PBE.

a b c (Å): 11.1307 11.1307 11.1307
angles (deg): 17.78 17.78 17.78
Fractional positions:
Sr: 0.5004 0.5004 0.5004
Sr: 0.9996 0.9996 0.9996
Zn: 0.7500 0.7500 0.7500
Ta: 0.2500 0.2500 0.2500

Computed properties:
The calculation puts the energy of formation from the pure elements at 0.754 eV per atom. For the electronic total energy, the calculation gives -3.37 eV per atom.

***

# 7
NiIr: relaxed, GGA-PBE.

a b c (Å): 7.2817 7.2817 7.2817
angles (deg): 90.00 90.00 90.00
Fractional positions:
Ir: 0.1512 0.8488 0.1512
Ir: 0.8488 0.8488 0.8488
Ni: 0.8320 0.8320 0.1680
Ir: 0.8488 0.1512 0.1512
Ni: 0.8320 0.1680 0.8320
Ni: 0.3320 0.3320 0.6680
Ni: 0.1680 0.8320 0.8320
Ni: 0.6680 0.6680 0.6680
Ni: 0.3320 0.6680 0.3320
Ir: 0.3488 0.3488 0.3488
Ir: 0.6512 0.3488 0.6512
Ni: 0.6680 0.3320 0.3320
Ir: 0.3488 0.6512 0.6512
Ir: 0.6512 0.6512 0.3488
Ni: 0.1680 0.1680 0.1680
Ir: 0.1512 0.1512 0.8488

Computed properties:
The calculation puts the energy of formation from the pure elements at 1.479 eV per atom. For the electronic total energy, the calculation gives -5.84 eV per atom.

***

# 8
Mn2GaPt5: relaxed, GGA-PBE.

a b c (Å): 4.0341 5.5276 10.8496
angles (deg): 90.00 90.00 90.00
Fractional positions:
Ga: 0.0000 0.0000 0.5000
Pt: 0.5000 0.7923 0.3882
Pt: 0.5000 0.2077 0.6118
Pt: 0.0000 0.9502 0.7434
Ga: 0.0000 0.5000 0.0000
Pt: 0.0000 0.0000 0.0000
Pt: 0.0000 0.4502 0.7566
Pt: 0.0000 0.0498 0.2566
Pt: 0.0000 0.5498 0.2434
Pt: 0.5000 0.2923 0.1118
Mn: 0.5000 0.7993 0.1361
Mn: 0.5000 0.2007 0.8639
Mn: 0.5000 0.2993 0.3639
Mn: 0.5000 0.7007 0.6361
Pt: 0.5000 0.7077 0.8882
Pt: 0.0000 0.5000 0.5000

Computed properties:
The calculation puts the energy of formation from the pure elements at -0.502 eV per atom. For the electronic total energy, the calculation gives -6.95 eV per atom.

***

# 9
MgSeO5: relaxed, GGA-PBE.

a b c (Å): 5.1241 5.1241 7.2302
angles (deg): 70.32 70.32 70.92
Fractional positions:
Mg: 0.4595 0.5405 0.7500
O: 0.3021 0.7186 0.0371
O: 0.2579 0.1993 0.3848
O: 0.6979 0.2814 0.9629
O: 0.2814 0.6979 0.4629
O: 0.9034 0.0966 0.2500
O: 0.0966 0.9034 0.7500
Se: 0.0000 0.0000 0.5000
O: 0.1993 0.2579 0.8848
O: 0.7421 0.8007 0.6152
Se: 0.0000 0.0000 0.0000
O: 0.8007 0.7421 0.1152
O: 0.7186 0.3021 0.5371
Mg: 0.5405 0.4595 0.2500

Computed properties:
For the offset from the most stable computed form, the calculation gives 0.73 eV per formula unit. For the electronic total energy, the calculation gives -4.99 eV per atom. For the uncorrected formation energy, the calculation gives -0.72 eV per atom.

***

# 10
AuSeF3: relaxed, GGA-PBE.

a b c (Å): 4.4302 4.4302 4.4302
angles (deg): 90.00 90.00 90.00
Fractional positions:
Au: 0.0000 0.0000 0.0000
Se: 0.5000 0.5000 0.5000
F: 0.5000 0.0000 0.0000
F: 0.0000 0.5000 0.0000
F: 0.0000 0.0000 0.5000

Computed properties:
For the offset from the most stable computed form, the calculation gives 0.34 eV per formula unit. For the electronic total energy, the calculation gives -2.85 eV per atom. For the uncorrected formation energy, the calculation gives -0.37 eV per atom.

***

# 11
Sm2TePb: relaxed, GGA-PBE.

a b c (Å): 3.7455 3.7455 8.3211
angles (deg): 90.00 90.00 90.00
Fractional positions:
Sm: 0.0000 0.0000 0.2376
Te: 0.5000 0.5000 0.0000
Sm: 0.0000 0.0000 0.7624
Pb: 0.5000 0.5000 0.5000

Computed properties:
For the offset from the most stable computed form, the calculation gives 0.68 eV per formula unit. For the electronic total energy, the calculation gives -4.93 eV per atom. For the uncorrected formation energy, the calculation gives -0.85 eV per atom.

***

# 12
PuUTeN2: relaxed, GGA-PBE.

a b c (Å): 3.8947 3.8947 6.8363
angles (deg): 106.55 106.55 90.00
Fractional positions:
N: 0.7449 0.2449 0.4898
U: 0.1638 0.1638 0.3276
N: 0.2449 0.7449 0.4898
Pu: 0.8438 0.8438 0.6876
Te: 0.5026 0.5026 0.0052

Computed properties:
For the electronic total energy, the calculation gives -10.46 eV per atom. For the uncorrected formation energy, the calculation gives -1.37 eV per atom.

***

# 13
Li5Mn4: relaxed, GGA-PBE.

a b c (Å): 6.3655 6.3655 6.3655
angles (deg): 95.40 95.40 144.26
Fractional positions:
Mn: 0.3483 0.0000 0.3483
Mn: 0.0000 0.3483 0.3483
Mn: 0.0000 0.6517 0.6517
Li: 0.6704 0.3296 0.0000
Mn: 0.6517 0.0000 0.6517
Li: 0.0000 0.0000 0.0000
Li: 0.3296 0.6704 0.0000
Li: 0.3296 0.3296 0.6592
Li: 0.6704 0.6704 0.3408

Computed properties:
The calculation puts the energy of formation from the pure elements at 0.357 eV per atom. For the offset from the most stable computed form, the calculation gives 0.00 eV per formula unit. For the electronic total energy, the calculation gives -4.78 eV per atom.

***

# 14
Sr3Nd2DyTe6: relaxed, GGA-PBE.

a b c (Å): 7.8602 7.8602 8.0538
angles (deg): 99.39 99.39 119.92
Fractional positions:
Te: 0.4045 0.0784 0.2366
Te: 0.5955 0.9216 0.7634
Sr: 0.5000 0.5000 0.5000
Te: 0.2454 0.2454 0.7607
Dy: 0.0000 0.0000 0.0000
Te: 0.0784 0.4045 0.2366
Te: 0.7546 0.7546 0.2393
Nd: 0.3346 0.6654 0.0000
Te: 0.9216 0.5955 0.7634
Sr: 0.1696 0.8304 0.5000
Nd: 0.6654 0.3346 0.0000
Sr: 0.8304 0.1696 0.5000

Computed properties:
For the electronic total energy, the calculation gives -4.70 eV per atom. For the uncorrected formation energy, the calculation gives -1.53 eV per atom.

***

# 15
AlZn3H: relaxed, GGA-PBE.

a b c (Å): 4.0777 4.0777 4.0777
angles (deg): 90.00 90.00 90.00
Fractional positions:
Zn: 0.0000 0.5000 0.0000
Zn: 0.5000 0.0000 0.0000
Zn: 0.0000 0.0000 0.5000
Al: 0.5000 0.5000 0.5000
H: 0.0000 0.0000 0.0000

Computed properties:
For the offset from the most stable computed form, the calculation gives 0.00 eV per formula unit. For the electronic total energy, the calculation gives -1.89 eV per atom.

***

# 16
Ba3Cu2Au4: relaxed, GGA-PBE.

a b c (Å): 4.6896 6.4515 9.3086
angles (deg): 103.77 90.00 111.31
Fractional positions:
Cu: 0.6119 0.2238 0.2843
Cu: 0.3881 0.7762 0.7157
Ba: 0.3355 0.6710 0.3331
Ba: 0.0000 0.0000 0.0000
Au: 0.9385 0.8770 0.6183
Au: 0.0615 0.1230 0.3817
Ba: 0.6645 0.3290 0.6669
Au: 0.2851 0.5702 0.9324
Au: 0.7149 0.4298 0.0676

Computed properties:
The calculation puts the energy of formation from the pure elements at -0.543 eV per atom. For the electronic total energy, the calculation gives -3.55 eV per atom.